Below is Ho2Tc2C3 after structural relaxation, with properties calculated at the PBE-GGA level.

VASP energy   -8.586 eV per atom
Symmetry   C2/m
Energy relative to the elements   -363 meV per atom

Cell: 3.3160 5.6676 6.0362 Å, 112.71 105.94 90.00°
Atoms (fractional coordinates):
C: 0.0000 0.0000 0.0000
Tc: 0.1578 0.3217 0.3156
Ho: 0.6094 0.8223 0.2189
C: 0.7536 0.2698 0.5072
Ho: 0.3906 0.1777 0.7811
Tc: 0.8422 0.6783 0.6844
C: 0.2464 0.7302 0.4928